# 1
Here is an optimized crystal structure of TiZn16 from Alexandria via LeMat-Bulk. Energies are from GGA-PBEsol.

Lattice parameters (Å, degrees): 6.738 6.738 11.459 90.00 90.00 111.60
Element x y z (fractional)
Ti (0.046, 0.954, 0.750)
Ti (0.954, 0.046, 0.250)
Zn (0.000, 0.000, 0.000)
Zn (0.000, 0.000, 0.500)
Zn (0.019, 0.645, 0.570)
Zn (0.019, 0.645, 0.930)
Zn (0.178, 0.822, 0.140)
Zn (0.178, 0.822, 0.360)
Zn (0.193, 0.477, 0.250)
Zn (0.238, 0.347, 0.634)
Zn (0.238, 0.347, 0.866)
Zn (0.290, 0.710, 0.750)
Zn (0.347, 0.238, 0.134)
Zn (0.347, 0.238, 0.366)
Zn (0.355, 0.981, 0.570)
Zn (0.355, 0.981, 0.930)
Zn (0.382, 0.618, 0.032)
Zn (0.382, 0.618, 0.468)
Zn (0.477, 0.193, 0.750)
Zn (0.523, 0.807, 0.250)
Zn (0.618, 0.382, 0.532)
Zn (0.618, 0.382, 0.968)
Zn (0.645, 0.019, 0.070)
Zn (0.645, 0.019, 0.430)
Zn (0.653, 0.762, 0.634)
Zn (0.653, 0.762, 0.866)
Zn (0.710, 0.290, 0.250)
Zn (0.762, 0.653, 0.134)
Zn (0.762, 0.653, 0.366)
Zn (0.807, 0.523, 0.750)
Zn (0.822, 0.178, 0.640)
Zn (0.822, 0.178, 0.860)
Zn (0.981, 0.355, 0.070)
Zn (0.981, 0.355, 0.430)

space-group type = Cmcm (63)
D(E_F) = 0.279 states/eV per atom
total DFT energy (no corrections) = -0.0750 Ha/atom

***

# 2
Here is an optimized crystal structure of Ga3HSe from Alexandria via LeMat-Bulk. Energies are from GGA-PBEsol.

Lattice parameters (Å, degrees): 4.364 4.364 4.364 90.00 90.00 90.00
Element x y z (fractional)
Ga (0.000, 0.000, 0.500)
Ga (0.000, 0.500, 0.000)
Ga (0.500, 0.000, 0.000)
H (0.000, 0.000, 0.000)
Se (0.500, 0.500, 0.500)

space-group type = Pm-3m (221)
D(E_F) = 0.343 states/eV per atom
total DFT energy (no corrections) = -0.1210 Ha/atom

***

# 3
Here is an optimized crystal structure of Zr5TePb3 from Alexandria via LeMat-Bulk. Energies are from GGA-PBEsol.

Lattice parameters (Å, degrees): 8.753 8.753 6.093 90.00 90.00 120.00
Element x y z (fractional)
Zr (0.000, 0.277, 0.250)
Zr (0.000, 0.723, 0.750)
Zr (0.277, 0.000, 0.250)
Zr (0.277, 0.277, 0.750)
Zr (0.333, 0.667, 0.000)
Zr (0.333, 0.667, 0.500)
Zr (0.667, 0.333, 0.000)
Zr (0.667, 0.333, 0.500)
Zr (0.723, 0.000, 0.750)
Zr (0.723, 0.723, 0.250)
Te (0.000, 0.000, 0.000)
Te (0.000, 0.000, 0.500)
Pb (0.000, 0.388, 0.750)
Pb (0.000, 0.612, 0.250)
Pb (0.388, 0.000, 0.750)
Pb (0.388, 0.388, 0.250)
Pb (0.612, 0.000, 0.250)
Pb (0.612, 0.612, 0.750)

space-group type = P6_3/mcm (193)
formation energy from raw total energies = -4.1 eV per formula unit
D(E_F) = 0.327 states/eV per atom

***

# 4
Here is an optimized crystal structure of BiBSeCl2 from Alexandria via LeMat-Bulk. Energies are from GGA-PBEsol.

Lattice parameters (Å, degrees): 4.153 4.153 5.768 90.00 90.00 90.00
Element x y z (fractional)
Bi (0.000, 0.000, 0.000)
B (0.000, 0.000, 0.500)
Se (0.500, 0.500, 0.000)
Cl (0.000, 0.500, 0.500)
Cl (0.500, 0.000, 0.500)

space-group type = P4/mmm (123)
formation energy from raw total energies = 1.0 eV per formula unit
D(E_F) = 0.287 states/eV per atom

***

# 5
Here is an optimized crystal structure of SbCCl4O2 from Alexandria via LeMat-Bulk. Energies are from GGA-PBEsol.

Lattice parameters (Å, degrees): 6.945 7.360 16.368 81.63 85.77 84.88
Element x y z (fractional)
Sb (0.160, 0.238, 0.126)
Sb (0.292, 0.255, 0.616)
Sb (0.708, 0.745, 0.384)
Sb (0.840, 0.762, 0.874)
C (0.058, 0.449, 0.967)
C (0.413, 0.573, 0.500)
C (0.587, 0.427, 0.500)
C (0.942, 0.551, 0.033)
Cl (0.019, 0.699, 0.326)
Cl (0.107, 0.226, 0.268)
Cl (0.114, 0.914, 0.889)
Cl (0.189, 0.162, 0.496)
Cl (0.375, 0.984, 0.112)
Cl (0.392, 0.959, 0.673)
Cl (0.402, 0.444, 0.117)
Cl (0.436, 0.396, 0.713)
Cl (0.564, 0.604, 0.287)
Cl (0.598, 0.556, 0.883)
Cl (0.608, 0.041, 0.327)
Cl (0.625, 0.016, 0.888)
Cl (0.811, 0.838, 0.504)
Cl (0.886, 0.086, 0.111)
Cl (0.893, 0.774, 0.732)
Cl (0.981, 0.301, 0.674)
O (0.037, 0.514, 0.892)
O (0.166, 0.308, 0.992)
O (0.265, 0.531, 0.546)
O (0.429, 0.724, 0.454)
O (0.571, 0.276, 0.546)
O (0.735, 0.469, 0.454)
O (0.834, 0.692, 0.008)
O (0.963, 0.486, 0.108)

space-group type = P-1 (2)
formation energy from raw total energies = -6.8 eV per formula unit
D(E_F) = 0.000 states/eV per atom

***

# 6
Here is an optimized crystal structure of Mg2ZnCuPb from Alexandria via LeMat-Bulk. Energies are from GGA-PBEsol.

Lattice parameters (Å, degrees): 4.874 4.874 5.254 90.00 90.00 90.00
Element x y z (fractional)
Mg (0.000, 0.500, 0.000)
Mg (0.500, 0.000, 0.000)
Zn (0.000, 0.000, 0.000)
Cu (0.500, 0.500, 0.500)
Pb (0.000, 0.000, 0.500)

space-group type = P4/mmm (123)
D(E_F) = 0.512 states/eV per atom
total DFT energy (no corrections) = -0.0768 Ha/atom